! K2NaIn3 | Alexandria | PBE-GGA | relaxed; values from VASP
&SYSTEM
  ibrav = 0, nat = 6, ntyp = 3
/
ATOMIC_SPECIES
In 114.82 In.upf
K 39.10 K.upf
Na 22.99 Na.upf
ATOMIC_POSITIONS crystal
In 0.0000 0.0000 0.5000
K 0.7610 0.3799 0.1408
In 0.5000 0.0000 0.5000
K 0.2390 0.6201 0.8592
In 0.5000 0.5000 0.5000
Na 0.0000 0.0000 0.0000
CELL_PARAMETERS angstrom
5.7585 -0.2127 -3.0065
-3.6883 5.3458 -0.2529
-0.1302 0.2892 6.7017
! Magnetization ... 0.00 Bohr magnetons per cell
! Calculated volume ... 203 Å³ per cell
! E_form ... -0.1040 eV/atom